No. 1
Below is a relaxed Rb2NaCoC6N6 crystal, with properties calculated at the GGA-PBE level.

```
Rb2NaCoC6N6
1.0
7.159 0.000 0.000
0.000 7.610 0.000
-7.078 0.000 10.389
Rb Na Co C N
4 2 2 12 12
Cartesian
-0.133 0.528 2.595
-3.672 3.277 7.789
3.754 4.333 2.600
0.215 7.082 7.794
-3.539 0.000 5.195
0.000 3.805 0.000
3.580 0.000 0.000
0.041 3.805 5.195
-5.030 1.015 10.069
-1.491 2.790 4.874
-0.905 5.365 4.804
-4.444 6.050 9.999
-3.016 0.141 8.595
0.523 3.664 3.401
-0.442 3.946 6.988
3.097 7.469 1.794
4.525 1.560 0.391
0.986 2.245 5.585
1.572 4.820 5.515
5.111 6.595 0.320
-5.993 1.652 9.850
-2.454 2.153 4.655
-5.045 5.072 9.742
-1.506 6.342 4.548
-2.708 0.255 7.467
0.831 3.550 2.273
-0.749 4.060 8.116
2.790 7.355 2.922
1.587 1.267 5.841
5.126 2.537 0.647
2.535 5.457 5.734
6.074 5.958 0.540
```

## Properties
As for the total energy: -7.38 eV per atom.

No. 2
Below is a relaxed Nb4Co2CN crystal, with properties calculated at the GGA-PBE level.

```
Nb4Co2CN
1.0
3.096 0.000 0.000
-1.548 2.681 0.000
0.000 0.000 12.864
Nb Co C N
4 2 1 1
Cartesian
0.000 1.788 1.269
0.000 1.788 5.174
1.548 0.894 7.690
1.548 0.894 11.595
0.000 1.788 9.626
1.548 0.894 3.238
0.000 0.000 0.000
0.000 0.000 6.432
```

## Properties
As for the total energy: -9.30 eV per atom.

No. 3
Below is a relaxed Pr2NdCo2C2N3 crystal, with properties calculated at the GGA-PBE level.

```
Pr2NdCo2C2N3
1.0
-1.801 1.801 9.962
1.801 -1.801 9.962
1.801 1.801 -9.962
Pr Nd Co C N
2 1 2 2 3
Cartesian
0.000 0.000 2.578
0.000 0.000 17.346
0.000 0.000 9.962
1.801 0.000 4.981
0.000 1.801 4.981
0.000 0.000 6.056
0.000 0.000 13.868
0.000 0.000 0.000
0.000 0.000 7.463
0.000 0.000 12.461
```

## Properties
As for the total energy: -7.91 eV per atom.